a | Computed, not measured: a relaxed structure of CuAgSbTe2 at the PBE level of DFT.

a b c (Å): 5.314 5.314 4.912
angles (deg): 90.00 90.00 90.00
Fractional positions:
Te (0.500, 0.000, 0.000)
Te (0.000, 0.500, 0.000)
Cu (0.000, 0.000, 0.000)
Ag (0.500, 0.500, 0.500)
Sb (0.000, 0.000, 0.500)

Calculated values
SG: P4/mmm, No. 123
Size of the total moment, μB per formula unit: 0.00



b | Computed, not measured: a relaxed structure of CuAgSbTe2 at the PBE level of DFT.

a b c (Å): 5.497 5.497 5.245
angles (deg): 90.00 90.00 90.00
Fractional positions:
Ag (0.000, 0.000, 0.000)
Cu (0.500, 0.500, 0.500)
Te (0.000, 0.500, 0.000)
Te (0.500, 0.000, 0.000)
Sb (0.000, 0.000, 0.500)

Calculated values
SG: P4/mmm, No. 123
Size of the total moment, μB per formula unit: 0.00



Stability, highest: a



a | Computed, not measured: a relaxed structure of Sc4CuAg at the PBE level of DFT.

a b c (Å): 4.591 4.592 6.631
angles (deg): 89.97 90.00 90.00
Fractional positions:
Cu (0.002, 0.997, 0.498)
Sc (0.501, 0.997, 0.264)
Sc (0.001, 0.497, 0.264)
Sc (0.001, 0.497, 0.732)
Sc (0.501, 0.998, 0.732)
Ag (0.501, 0.498, 0.998)

Calculated values
SG: C2, No. 5
Size of the total moment, μB per formula unit: 0.00



b | Computed, not measured: a relaxed structure of Sc4CuAg at the PBE level of DFT.

a b c (Å): 5.687 5.687 5.687
angles (deg): 60.00 60.00 60.00
Fractional positions:
Sc (0.375, 0.876, 0.375)
Sc (0.876, 0.375, 0.375)
Sc (0.375, 0.375, 0.375)
Sc (0.375, 0.375, 0.876)
Cu (0.000, 0.000, 0.000)
Ag (0.750, 0.750, 0.750)

Calculated values
SG: F-43m, No. 216
Size of the total moment, μB per formula unit: 0.00



Stability, highest: a



a | Computed, not measured: a relaxed structure of CuAg2Se2 at the PBE level of DFT.

a b c (Å): 6.469 6.660 9.877
angles (deg): 90.00 99.25 90.00
Fractional positions:
Se (0.742, 0.513, 0.854)
Se (0.248, 0.577, 0.591)
Se (0.748, 0.923, 0.591)
Se (0.242, 0.987, 0.854)
Se (0.252, 0.077, 0.409)
Se (0.752, 0.423, 0.409)
Se (0.758, 0.013, 0.146)
Se (0.258, 0.487, 0.146)
Cu (0.872, 0.072, 0.392)
Cu (0.628, 0.572, 0.608)
Cu (0.372, 0.428, 0.392)
Cu (0.128, 0.928, 0.608)
Ag (0.498, 0.278, 0.981)
Ag (0.020, 0.688, 0.321)
Ag (0.002, 0.778, 0.019)
Ag (0.502, 0.722, 0.019)
Ag (0.998, 0.222, 0.981)
Ag (0.480, 0.188, 0.679)
Ag (0.520, 0.812, 0.321)
Ag (0.980, 0.312, 0.679)

Calculated values
SG: P2_1/c, No. 14
Size of the total moment, μB per formula unit: 0.00



b | Computed, not measured: a relaxed structure of CuAg2Se2 at the PBE level of DFT.

a b c (Å): 6.923 6.923 4.175
angles (deg): 90.00 90.00 90.00
Fractional positions:
Cu (0.500, 0.500, 0.000)
Cu (0.000, 0.000, 0.000)
Se (0.675, 0.175, 0.000)
Se (0.175, 0.325, 0.000)
Se (0.325, 0.825, 0.000)
Se (0.825, 0.675, 0.000)
Ag (0.645, 0.855, 0.500)
Ag (0.145, 0.645, 0.500)
Ag (0.355, 0.145, 0.500)
Ag (0.855, 0.355, 0.500)

Calculated values
SG: P4/mbm, No. 127
Size of the total moment, μB per formula unit: 0.00



c | Computed, not measured: a relaxed structure of CuAg2Se2 at the PBE level of DFT.

a b c (Å): 4.134 9.519 6.316
angles (deg): 119.50 90.00 102.54
Fractional positions:
Se (0.472, 0.944, 0.143)
Se (0.303, 0.606, 0.309)
Se (0.697, 0.394, 0.691)
Se (0.528, 0.056, 0.857)
Ag (0.930, 0.860, 0.541)
Ag (0.860, 0.721, 0.979)
Ag (0.140, 0.279, 0.021)
Ag (0.070, 0.140, 0.459)
Cu (0.768, 0.536, 0.435)
Cu (0.232, 0.464, 0.565)

Calculated values
SG: C2/m, No. 12
Size of the total moment, μB per formula unit: 0.00



Stability, highest: a



a | Computed, not measured: a relaxed structure of Cu2AgTeSe at the PBE level of DFT.

a b c (Å): 4.061 6.654 7.917
angles (deg): 89.80 90.00 90.00
Fractional positions:
Se (0.750, 0.734, 0.384)
Se (0.250, 0.266, 0.616)
Cu (0.250, 0.514, 0.384)
Cu (0.750, 0.506, 0.128)
Cu (0.750, 0.486, 0.616)
Cu (0.250, 0.494, 0.872)
Te (0.250, 0.236, 0.146)
Te (0.750, 0.764, 0.854)
Ag (0.750, 0.197, 0.872)
Ag (0.250, 0.803, 0.128)

Calculated values
SG: P2_1/m, No. 11
Size of the total moment, μB per formula unit: 0.00



b | Computed, not measured: a relaxed structure of Cu2AgTeSe at the PBE level of DFT.

a b c (Å): 4.426 6.514 4.426
angles (deg): 90.00 90.00 90.00
Fractional positions:
Cu (0.500, 0.000, 0.000)
Cu (0.000, 0.000, 0.500)
Ag (0.500, 0.500, 0.500)
Se (0.000, 0.000, 0.000)
Te (0.000, 0.500, 0.000)

Calculated values
SG: P4/mmm, No. 123
Size of the total moment, μB per formula unit: 0.00



Stability, highest: a



a | Computed, not measured: a relaxed structure of CuSi2Ag at the PBE level of DFT.

a b c (Å): 4.443 4.443 4.443
angles (deg): 60.00 60.00 60.00
Fractional positions:
Cu (0.750, 0.750, 0.750)
Ag (0.500, 0.500, 0.500)
Si (0.250, 0.250, 0.250)
Si (0.000, 0.000, 0.000)

Calculated values
SG: F-43m, No. 216
Size of the total moment, μB per formula unit: 0.00



b | Computed, not measured: a relaxed structure of CuSi2Ag at the PBE level of DFT.

a b c (Å): 2.742 2.742 8.025
angles (deg): 90.00 90.00 90.00
Fractional positions:
Si (0.000, 0.000, 0.971)
Si (0.000, 0.000, 0.529)
Ag (0.500, 0.500, 0.250)
Cu (0.500, 0.500, 0.750)

Calculated values
SG: P4/mmm, No. 123
Size of the total moment, μB per formula unit: 0.00



c | Computed, not measured: a relaxed structure of CuSi2Ag at the PBE level of DFT.

a b c (Å): 8.004 8.004 8.004
angles (deg): 21.45 21.45 21.45
Fractional positions:
Si (0.256, 0.256, 0.256)
Si (0.002, 0.002, 0.002)
Cu (0.741, 0.741, 0.741)
Ag (0.501, 0.501, 0.501)

Calculated values
SG: R3m, No. 160
Size of the total moment, μB per formula unit: 0.00



d | Computed, not measured: a relaxed structure of CuSi2Ag at the PBE level of DFT.

a b c (Å): 4.366 4.366 5.099
angles (deg): 79.03 79.03 39.30
Fractional positions:
Ag (0.750, 0.750, 0.750)
Cu (0.250, 0.250, 0.250)
Si (0.994, 0.994, 0.038)
Si (0.506, 0.506, 0.462)

Calculated values
SG: C2/m, No. 12
Size of the total moment, μB per formula unit: 0.00



Stability, highest: c



a | Computed, not measured: a relaxed structure of CuSi2Ag at the PBE level of DFT.

a b c (Å): 4.459 4.459 4.459
angles (deg): 60.00 60.00 60.00
Fractional positions:
Ag (0.500, 0.500, 0.500)
Si (0.250, 0.250, 0.250)
Si (0.750, 0.750, 0.750)
Cu (0.000, 0.000, 0.000)

Calculated values
SG: Fm-3m, No. 225
Size of the total moment, μB per formula unit: 0.00



b | Computed, not measured: a relaxed structure of CuSi2Ag at the PBE level of DFT.

a b c (Å): 2.777 2.777 7.693
angles (deg): 90.00 90.00 89.98
Fractional positions:
Si (0.000, 0.000, 0.982)
Si (0.500, 0.500, 0.233)
Ag (0.000, 0.000, 0.511)
Cu (0.500, 0.500, 0.775)

Calculated values
SG: P4mm, No. 99
Size of the total moment, μB per formula unit: 0.00



c | Computed, not measured: a relaxed structure of CuSi2Ag at the PBE level of DFT.

a b c (Å): 2.677 3.831 5.968
angles (deg): 90.00 90.00 90.00
Fractional positions:
Ag (0.500, 0.500, 0.250)
Si (0.000, 0.000, 0.537)
Si (0.000, 0.000, 0.963)
Cu (0.500, 0.500, 0.750)

Calculated values
SG: Pmmm, No. 47
Size of the total moment, μB per formula unit: 0.00



d | Computed, not measured: a relaxed structure of CuSi2Ag at the PBE level of DFT.

a b c (Å): 4.764 2.763 4.883
angles (deg): 106.49 90.00 90.00
Fractional positions:
Si (0.500, 0.176, 0.227)
Si (0.000, 0.075, 0.024)
Ag (0.000, 0.346, 0.564)
Cu (0.500, 0.903, 0.684)

Calculated values
SG: Pm, No. 6
Size of the total moment, μB per formula unit: 0.00



Stability, highest: d



a | Computed, not measured: a relaxed structure of Cu2Si2Ag at the PBE level of DFT.

a b c (Å): 7.251 7.251 2.789
angles (deg): 90.00 90.00 90.00
Fractional positions:
Si (0.176, 0.676, 0.500)
Si (0.676, 0.824, 0.500)
Si (0.824, 0.324, 0.500)
Si (0.324, 0.176, 0.500)
Cu (0.877, 0.623, 0.000)
Cu (0.377, 0.877, 0.000)
Cu (0.123, 0.377, 0.000)
Cu (0.623, 0.123, 0.000)
Ag (0.500, 0.500, 0.000)
Ag (0.000, 0.000, 0.000)

Calculated values
SG: P4/mbm, No. 127
Size of the total moment, μB per formula unit: 0.00



b | Computed, not measured: a relaxed structure of Cu2Si2Ag at the PBE level of DFT.

a b c (Å): 3.532 3.532 6.430
angles (deg): 74.06 74.06 90.00
Fractional positions:
Si (0.250, 0.750, 0.500)
Si (0.750, 0.250, 0.500)
Ag (0.000, 0.000, 0.000)
Cu (0.607, 0.607, 0.787)
Cu (0.393, 0.393, 0.213)

Calculated values
SG: I4/mmm, No. 139
Size of the total moment, μB per formula unit: 0.00



Stability, highest: b